The following is a GGA+U calculation of a geometry-optimized BaCoSe2O6 structure, from the Alexandria database.

The crystal system is orthorhombic. The value obtained for the density is 4.721 g/cm3. As for the energy above the most stable polymorph in this dataset: 0.0 kJ/mol of atoms.

a b c (Å): 15.199 5.553 7.504
angles (deg): 90.00 90.00 90.00
Fractional positions:
Ba  0.116  0.250  0.070
Ba  0.384  0.750  0.570
Ba  0.616  0.250  0.430
Ba  0.884  0.750  0.930
Co  0.125  0.750  0.702
Co  0.375  0.250  0.202
Co  0.625  0.750  0.798
Co  0.875  0.250  0.298
Se  0.016  0.250  0.628
Se  0.231  0.250  0.526
Se  0.269  0.750  0.026
Se  0.484  0.750  0.128
Se  0.516  0.250  0.872
Se  0.731  0.250  0.974
Se  0.769  0.750  0.474
Se  0.984  0.750  0.372
O  0.024  0.010  0.777
O  0.024  0.490  0.777
O  0.093  0.750  0.432
O  0.157  0.750  0.975
O  0.228  0.007  0.670
O  0.228  0.493  0.670
O  0.272  0.507  0.170
O  0.272  0.993  0.170
O  0.343  0.250  0.475
O  0.407  0.250  0.932
O  0.476  0.510  0.277
O  0.476  0.990  0.277
O  0.524  0.010  0.723
O  0.524  0.490  0.723
O  0.593  0.750  0.068
O  0.657  0.750  0.525
O  0.728  0.007  0.830
O  0.728  0.493  0.830
O  0.772  0.507  0.330
O  0.772  0.993  0.330
O  0.843  0.250  0.025
O  0.907  0.250  0.568
O  0.976  0.510  0.223
O  0.976  0.990  0.223